# 1
Material: TiZnPd3
Method: DFT, PBEsol
State: optimized geometry

Geometry as POSCAR:
```
TiZnPd3
1.0
-4.3899 0.4716 -1.1410
0.0776 -4.1007 -1.9934
-1.2322 -1.9383 3.9395
Pd Ti Zn
3 1 1
Direct
0.0000 0.5000 0.0000
0.5000 0.0000 0.0000
0.0000 0.0000 0.5000
0.0000 0.0000 0.0000
0.5000 0.5000 0.5000
```

V in Å³/cell: 94.83
Formation energy in eV/f.u.: 3.03



# 2
Material: Tl9Pd13
Method: DFT, PBEsol
State: optimized geometry

Geometry as POSCAR:
```
Tl9Pd13
1.0
-0.6808 1.7960 -5.3025
-0.6991 -8.4879 -2.7853
-7.3299 4.5221 2.4728
Pd Tl
13 9
Direct
0.5000 0.5000 0.5000
0.7527 0.6818 0.8409
0.5000 0.0000 0.5000
0.0000 0.0000 0.5000
0.2473 0.8409 0.6818
0.2473 0.8409 0.1591
0.7527 0.1591 0.8409
0.5000 0.5000 0.0000
0.0000 0.0000 0.0000
0.7527 0.1591 0.3182
0.0000 0.5000 0.5000
0.2473 0.3182 0.1591
0.0000 0.5000 0.0000
0.2512 0.6667 0.3333
0.5000 0.0000 0.0000
0.2469 0.1929 0.3858
0.7531 0.8071 0.1929
0.2469 0.1929 0.8071
0.7488 0.3333 0.6667
0.7531 0.3858 0.1929
0.7531 0.8071 0.6142
0.2469 0.6142 0.8071
```

V in Å³/cell: 392.15
Formation energy in eV/f.u.: -5.18



Number 1: DFT total energy -4.9495 eV per atom. Number 2: DFT total energy -4.8323 eV per atom.